A relaxed structure of SrTlIr2. Source: Alexandria via LeMat-Bulk, functional PBE-GGA.

Magnetization in μB per formula unit: 0.0
Crystal system: trigonal
Formation energy from the elements in meV/atom: 74.9

abc: 4.7099 4.7099 16.2988
angles: 90.00 90.00 120.00
Space group R-3m (No. 166, hexagonal axes)
One atom of each set of equivalent atoms:
Sr (0.0000, 0.0000, 0.0000) x3
Tl (0.0000, 0.0000, 0.5000) x3
Ir (0.0000, 0.0000, 0.1780) x6